Version a
InNiI2O after structural relaxation, computed with GGA+U.

a = 6.101 Å, b = 6.101 Å, c = 3.942 Å
α = 90.00°, β = 90.00°, γ = 90.00°
Positions (direct):
I 0.000 0.500 0.000
I 0.500 0.000 0.000
In 0.000 0.000 0.000
O 0.000 0.000 0.500
Ni 0.500 0.500 0.500

total moment: 1.0 μB/cell

Version b
InNiI2O after structural relaxation, computed with GGA+U.

a = 6.218 Å, b = 6.218 Å, c = 3.540 Å
α = 90.00°, β = 90.00°, γ = 90.00°
Positions (direct):
Ni 0.000 0.000 0.000
In 0.500 0.500 0.500
I 0.500 0.000 0.000
O 0.000 0.000 0.500
I 0.000 0.500 0.000

total moment: 2.5 μB/cell

Most stable of them? version b.

Version a
InNiIO2 after structural relaxation, computed with GGA+U.

a = 4.262 Å, b = 4.262 Å, c = 5.407 Å
α = 90.00°, β = 90.00°, γ = 90.00°
Positions (direct):
O 0.500 0.000 0.000
O 0.000 0.500 0.000
Ni 0.000 0.000 0.000
I 0.000 0.000 0.500
In 0.500 0.500 0.500

total moment: 3.3 μB/cell

Version b
InNiIO2 after structural relaxation, computed with GGA+U.

a = 4.071 Å, b = 4.071 Å, c = 6.365 Å
α = 90.00°, β = 90.00°, γ = 90.00°
Positions (direct):
In 0.000 0.000 0.000
Ni 0.500 0.500 0.500
O 0.500 0.000 0.000
O 0.000 0.500 0.000
I 0.000 0.000 0.500

total moment: 1.2 μB/cell

Most stable of them? version b.